[1]
Computed, not measured: a relaxed structure of Cs4AcCl6 at the PBE-GGA level of DFT.

As for the crystal system: tetragonal. The value obtained for the calculated volume is 51.4 Å³/atom. The formation energy (no corrections) comes out at -1.931 eV per atom.

The space group is P4/mnc (No. 128) and the conventional cell measures 10.294, 10.294 and 10.676 Å, with angles of 90.00, 90.00 and 90.00 degrees. Symmetry generates all atoms from Cs at (0.186, 0.314, 0.250), Ac at (0.000, 0.000, 0.000), Cl at (0.000, 0.000, 0.270) and Cl at (0.075, 0.729, 0.000).

[2]
Computed, not measured: a relaxed structure of CsAcCl3 at the PBE-GGA level of DFT.

As for the crystal system: cubic. The value obtained for the calculated volume is 40.2 Å³/atom. The formation energy (no corrections) comes out at -1.911 eV per atom.

The space group is Pm-3m (No. 221) and the conventional cell measures 5.858, 5.858 and 5.858 Å, with angles of 90.00, 90.00 and 90.00 degrees. Symmetry generates all atoms from Cs at (0.000, 0.000, 0.000), Ac at (0.500, 0.500, 0.500) and Cl at (0.000, 0.500, 0.500).

> Number 1 is which compound?

Cs4AcCl6

> Among the records above, which one has the highest formation energy (no corrections)?

CsAcCl3

> The lowest calculated volume belongs to which entry?

CsAcCl3